No. 1
The following is a PBE calculation of a relaxed structure of TaTi2S4, from Alexandria.

```
TaTi2S4
1.0
3.272 0.000 0.000
0.000 6.086 -0.065
-1.636 -3.035 6.108
S Ta Ti
4 1 2
Direct
0.368 0.695 0.735 S
0.882 0.208 0.764 S
0.632 0.305 0.265 S
0.118 0.792 0.236 S
0.000 0.000 0.000 Ta
0.255 0.222 0.511 Ti
0.745 0.778 0.489 Ti
```

Computed properties:
Energy relative to the elements, uncorrected = -1.222 eV/atom
Raw total energy = -7.530 eV/atom

***

No. 2
The following is a PBE calculation of a relaxed structure of HPbCSNO, from Alexandria.

```
HPbCSNO
1.0
4.296 0.000 0.000
0.000 8.539 0.000
0.000 0.000 11.845
S C N O H Pb
4 4 4 4 4 4
Direct
0.750 0.429 0.227 S
0.750 0.929 0.273 S
0.250 0.571 0.773 S
0.250 0.071 0.727 S
0.250 0.438 0.872 C
0.750 0.562 0.128 C
0.750 0.062 0.372 C
0.250 0.938 0.628 C
0.750 0.660 0.058 N
0.250 0.840 0.558 N
0.750 0.160 0.442 N
0.250 0.340 0.942 N
0.250 0.389 0.498 O
0.250 0.889 0.002 O
0.750 0.611 0.502 O
0.750 0.111 0.998 O
0.750 0.200 0.946 H
0.750 0.700 0.554 H
0.250 0.800 0.054 H
0.250 0.300 0.446 H
0.750 0.362 0.601 Pb
0.250 0.138 0.101 Pb
0.750 0.862 0.899 Pb
0.250 0.638 0.399 Pb
```

Computed properties:
Raw total energy = -6.039 eV/atom

***

No. 3
The following is a PBE calculation of a relaxed structure of Al2ZnBr, from Alexandria.

```
Al2ZnBr
1.0
3.177 0.000 0.000
0.000 5.297 0.000
0.000 0.000 4.868
Zn Br Al
1 1 2
Direct
0.000 0.500 0.500 Zn
0.500 0.000 0.500 Br
0.500 0.500 0.000 Al
0.000 0.000 0.000 Al
```

Computed properties:
Energy relative to the elements, uncorrected = 0.160 eV/atom
Raw total energy = -2.448 eV/atom

***

No. 4
The following is a PBE calculation of a relaxed structure of La5Ge2NO, from Alexandria.

```
La5Ge2NO
1.0
-0.255 3.750 2.850
-3.675 1.627 -2.469
-6.724 -5.373 6.467
La Ge N O
5 2 1 1
Direct
0.500 0.000 0.500 La
0.000 0.500 0.500 La
0.000 0.000 0.208 La
0.500 0.500 0.000 La
0.000 0.000 0.792 La
0.500 0.500 0.286 Ge
0.500 0.500 0.714 Ge
0.000 0.000 0.000 N
0.000 0.000 0.500 O
```

Computed properties:
Energy relative to the elements, uncorrected = -1.206 eV/atom
Raw total energy = -6.446 eV/atom